Version one
Entry from Alexandria: an optimized crystal structure of Ca3TcHg (GGA-PBE).

Cell: 5.4474 5.4474 5.4474 Å, 90.00 90.00 90.00°
Fractional positions:
Ca 0.0000 0.5000 0.0000
Ca 0.0000 0.0000 0.5000
Ca 0.5000 0.0000 0.0000
Hg 0.5000 0.5000 0.5000
Tc 0.0000 0.0000 0.0000

Version two
Entry from Alexandria: an optimized crystal structure of Ca3TcHg (GGA-PBE).

Cell: 5.7165 5.7165 5.7165 Å, 90.00 90.00 90.00°
Fractional positions:
Ca 0.0000 0.5000 0.0000
Ca 0.0000 0.0000 0.5000
Ca 0.5000 0.0000 0.0000
Hg 0.0000 0.0000 0.0000
Tc 0.5000 0.5000 0.5000

The structure with the greatest stability is version one.

Version one
Entry from Alexandria: an optimized crystal structure of CaHgTe (GGA-PBE).

Cell: 5.7874 5.7861 4.2804 Å, 68.31 68.28 43.41°
Fractional positions:
Ca 0.0135 0.0135 0.9865
Te 0.6566 0.6566 0.3434
Hg 0.3299 0.3299 0.6701

Version two
Entry from Alexandria: an optimized crystal structure of CaHgTe (GGA-PBE).

Cell: 5.2481 5.2481 5.2481 Å, 60.00 60.00 60.00°
Fractional positions:
Ca 0.7500 0.7500 0.7500
Te 0.5000 0.5000 0.5000
Hg 0.0000 0.0000 0.0000

The structure with the greatest stability is version two.

Version one
Entry from Alexandria: an optimized crystal structure of CaHgTe (GGA-PBE).

Cell: 5.4019 5.4019 5.4019 Å, 60.00 60.00 60.00°
Fractional positions:
Ca 0.0000 0.0000 0.0000
Te 0.7500 0.7500 0.7500
Hg 0.5000 0.5000 0.5000

Version two
Entry from Alexandria: an optimized crystal structure of CaHgTe (GGA-PBE).

Cell: 4.4784 4.4784 9.8224 Å, 90.00 90.00 90.00°
Fractional positions:
Ca 0.0000 0.5000 0.8464
Ca 0.5000 0.0000 0.1536
Te 0.0000 0.5000 0.1698
Te 0.5000 0.0000 0.8302
Hg 0.0000 0.5000 0.5112
Hg 0.5000 0.0000 0.4888

Version three
Entry from Alexandria: an optimized crystal structure of CaHgTe (GGA-PBE).

Cell: 5.3872 5.3430 9.1384 Å, 107.17 90.00 120.27°
Fractional positions:
Te 0.6021 0.2041 0.8061
Te 0.3979 0.7959 0.1939
Hg 0.1485 0.2969 0.4407
Hg 0.8515 0.7031 0.5593
Ca 0.7256 0.4512 0.1716
Ca 0.2744 0.5488 0.8284

Version four
Entry from Alexandria: an optimized crystal structure of CaHgTe (GGA-PBE).

Cell: 4.6093 4.6093 5.3226 Å, 90.00 90.00 120.00°
Fractional positions:
Ca 0.0000 0.0000 0.9840
Te 0.3333 0.6667 0.6806
Hg 0.6667 0.3333 0.3354

The structure with the greatest stability is version two.

Version one
Entry from Alexandria: an optimized crystal structure of CaZrHgTe2 (GGA-PBE).

Cell: 5.8130 5.3766 5.8130 Å, 90.00 90.00 90.00°
Fractional positions:
Ca 0.0000 0.0000 0.0000
Te 0.0000 0.0000 0.5000
Te 0.5000 0.0000 0.0000
Hg 0.0000 0.5000 0.0000
Zr 0.5000 0.5000 0.5000

Version two
Entry from Alexandria: an optimized crystal structure of CaZrHgTe2 (GGA-PBE).

Cell: 5.7149 5.3206 5.7149 Å, 90.00 90.00 90.00°
Fractional positions:
Ca 0.0000 0.5000 0.0000
Te 0.0000 0.0000 0.5000
Te 0.5000 0.0000 0.0000
Hg 0.0000 0.0000 0.0000
Zr 0.5000 0.5000 0.5000

The structure with the greatest stability is version one.